Below is a geometry-optimized KZrPt structure, with properties calculated at the PBE level.

Computed properties:
Calculated formation energy (eV per atom): 0.41
DFT total energy (eV per atom): -4.8177
Total magnetization (μB/cell): 0.000
SG: P3m1, No. 156

Lattice parameters (Å, degrees): 5.0561 5.0561 2.9399 90.00 90.00 120.00
Fractional coordinates of all 3 atoms:
1 K 0.0000 0.0000 0.0000
2 Zr 0.3333 0.6667 0.6764
3 Pt 0.6667 0.3333 0.3930

***

Below is a geometry-optimized KZr2Pt structure, with properties calculated at the PBE level.

Computed properties:
Calculated formation energy (eV per atom): 0.30
DFT total energy (eV per atom): -5.7552
Total magnetization (μB/cell): 0.000
SG: Fm-3m, No. 225

Lattice parameters (Å, degrees): 4.9200 4.9200 4.9200 60.00 60.00 60.00
Fractional coordinates of all 4 atoms:
1 K 0.0000 0.0000 0.0000
2 Zr 0.2500 0.2500 0.2500
3 Zr 0.7500 0.7500 0.7500
4 Pt 0.5000 0.5000 0.5000

***

Below is a geometry-optimized KZrPt2 structure, with properties calculated at the PBE level.

Computed properties:
Calculated formation energy (eV per atom): -0.14
DFT total energy (eV per atom): -5.5729
Total magnetization (μB/cell): 0.001
SG: P4mm, No. 99

Lattice parameters (Å, degrees): 3.5623 3.5623 8.2449 90.00 90.00 90.00
Fractional coordinates of all 4 atoms:
1 K 0.0000 0.0000 0.0000
2 Zr 0.5000 0.5000 0.5739
3 Pt 0.0000 0.0000 0.4478
4 Pt 0.5000 0.5000 0.2657

***

Below is a geometry-optimized KZrPt2 structure, with properties calculated at the PBE level.

Computed properties:
Calculated formation energy (eV per atom): 0.02
DFT total energy (eV per atom): -5.4162
Total magnetization (μB/cell): 0.000
SG: I-4m2, No. 119

Lattice parameters (Å, degrees): 5.4960 5.4960 5.4960 135.75 135.75 64.37
Fractional coordinates of all 4 atoms:
1 K 0.0000 0.0000 0.0000
2 Zr 0.7500 0.2500 0.5000
3 Pt 0.2500 0.7500 0.5000
4 Pt 0.5000 0.5000 0.0000

***

Below is a geometry-optimized KZr2Pt structure, with properties calculated at the PBE level.

Computed properties:
Calculated formation energy (eV per atom): 0.42
DFT total energy (eV per atom): -5.6435
Total magnetization (μB/cell): 0.000
SG: C2/m, No. 12

Lattice parameters (Å, degrees): 6.1531 6.1531 2.9811 102.48 102.48 119.28
Fractional coordinates of all 4 atoms:
1 K 0.0000 0.0000 0.0000
2 Zr 0.0000 0.5000 0.5000
3 Zr 0.5000 0.0000 0.5000
4 Pt 0.5000 0.5000 0.0000

***

Below is a geometry-optimized KZrPt2 structure, with properties calculated at the PBE level.

Computed properties:
Calculated formation energy (eV per atom): -0.28
DFT total energy (eV per atom): -5.7114
Total magnetization (μB/cell): 0.000
SG: Pm, No. 6

Lattice parameters (Å, degrees): 3.4935 4.3634 6.7890 90.00 90.38 90.00
Fractional coordinates of all 4 atoms:
1 K 0.0000 0.0000 0.0000
2 Zr 0.9934 0.5000 0.4563
3 Pt 0.4943 0.0000 0.4831
4 Pt 0.4971 0.5000 0.7427

***

Below is a geometry-optimized KZr2Pt structure, with properties calculated at the PBE level.

Computed properties:
Calculated formation energy (eV per atom): 0.06
DFT total energy (eV per atom): -5.9948
Total magnetization (μB/cell): 0.000
SG: Imm2, No. 44

Lattice parameters (Å, degrees): 9.6939 9.6939 9.6939 159.30 156.52 31.50
Fractional coordinates of all 4 atoms:
1 K 0.0000 0.0000 0.0000
2 Zr 0.6729 0.6729 0.0000
3 Zr 0.8114 0.3114 0.5000
4 Pt 0.2724 0.7724 0.5000

***

Below is a geometry-optimized KZr4Pt structure, with properties calculated at the PBE level.

Computed properties:
Calculated formation energy (eV per atom): 0.61
DFT total energy (eV per atom): -6.2744
Total magnetization (μB/cell): 0.000
SG: F-43m, No. 216

Lattice parameters (Å, degrees): 5.8539 5.8539 5.8539 60.00 60.00 60.00
Fractional coordinates of all 6 atoms:
1 K 0.0000 0.0000 0.0000
2 Zr 0.3773 0.3773 0.3773
3 Zr 0.3773 0.3773 0.8681
4 Zr 0.3773 0.8681 0.3773
5 Zr 0.8681 0.3773 0.3773
6 Pt 0.7500 0.7500 0.7500

***

Below is a geometry-optimized KZrPt structure, with properties calculated at the PBE level.

Computed properties:
Calculated formation energy (eV per atom): -0.19
DFT total energy (eV per atom): -5.4159
Total magnetization (μB/cell): 0.001
SG: I4mm, No. 107

Lattice parameters (Å, degrees): 7.5653 7.5653 7.5653 153.26 153.26 38.17
Fractional coordinates of all 3 atoms:
1 K 0.0000 0.0000 0.0000
2 Zr 0.7427 0.7427 0.0000
3 Pt 0.3194 0.3194 0.0000

***

Below is a geometry-optimized KZrPt2 structure, with properties calculated at the PBE level.

Computed properties:
Calculated formation energy (eV per atom): 0.17
DFT total energy (eV per atom): -5.2659
Total magnetization (μB/cell): 0.532
SG: R3m, No. 160

Lattice parameters (Å, degrees): 10.9744 10.9744 10.9744 15.64 15.64 15.64
Fractional coordinates of all 4 atoms:
1 K 0.0000 0.0000 0.0000
2 Zr 0.7778 0.7778 0.7778
3 Pt 0.2522 0.2522 0.2522
4 Pt 0.5131 0.5131 0.5131

***

Below is a geometry-optimized KZrPt2 structure, with properties calculated at the PBE level.

Computed properties:
Calculated formation energy (eV per atom): -0.15
DFT total energy (eV per atom): -5.5858
Total magnetization (μB/cell): 0.000
SG: Fm-3m, No. 225

Lattice parameters (Å, degrees): 4.8607 4.8607 4.8607 60.00 60.00 60.00
Fractional coordinates of all 4 atoms:
1 K 0.0000 0.0000 0.0000
2 Zr 0.5000 0.5000 0.5000
3 Pt 0.2500 0.2500 0.2500
4 Pt 0.7500 0.7500 0.7500

***

Below is a geometry-optimized KZr2Pt structure, with properties calculated at the PBE level.

Computed properties:
Calculated formation energy (eV per atom): 0.52
DFT total energy (eV per atom): -5.5341
Total magnetization (μB/cell): 0.005
SG: I-4m2, No. 119

Lattice parameters (Å, degrees): 5.7903 5.7903 5.7903 137.14 137.14 62.22
Fractional coordinates of all 4 atoms:
1 K 0.0000 0.0000 0.0000
2 Zr 0.5000 0.5000 0.0000
3 Zr 0.7500 0.2500 0.5000
4 Pt 0.2500 0.7500 0.5000

***

Below is a geometry-optimized KZr2Pt structure, with properties calculated at the PBE level.

Computed properties:
Calculated formation energy (eV per atom): 0.10
DFT total energy (eV per atom): -5.9609
Total magnetization (μB/cell): 0.000
SG: C2/m, No. 12

Lattice parameters (Å, degrees): 6.4001 6.4001 5.6734 110.50 110.50 27.56
Fractional coordinates of all 4 atoms:
1 K 0.0000 0.0000 0.0000
2 Zr 0.2019 0.2019 0.6838
3 Zr 0.7981 0.7981 0.3162
4 Pt 0.5000 0.5000 0.5000

***

Below is a geometry-optimized KZr2Pt structure, with properties calculated at the PBE level.

Computed properties:
Calculated formation energy (eV per atom): 0.12
DFT total energy (eV per atom): -5.9422
Total magnetization (μB/cell): 0.641
SG: Cm, No. 8

Lattice parameters (Å, degrees): 5.1238 5.1238 8.1830 110.12 110.12 38.80
Fractional coordinates of all 4 atoms:
1 K 0.0000 0.0000 0.0000
2 Zr 0.1475 0.1475 0.6344
3 Zr 0.3870 0.3870 0.3986
4 Pt 0.6679 0.6679 0.3903

***

Below is a geometry-optimized KZrPt2 structure, with properties calculated at the PBE level.

Computed properties:
Calculated formation energy (eV per atom): -0.04
DFT total energy (eV per atom): -5.4719
Total magnetization (μB/cell): 0.000
SG: I-42d, No. 122

Lattice parameters (Å, degrees): 6.3866 6.3866 6.3866 105.45 105.45 117.86
Fractional coordinates of all 8 atoms:
1 K 0.0000 0.0000 0.0000
2 K 0.7500 0.2500 0.5000
3 Zr 0.2500 0.7500 0.5000
4 Zr 0.5000 0.5000 0.0000
5 Pt 0.1777 0.6250 0.0527
6 Pt 0.3750 0.4277 0.5527
7 Pt 0.5723 0.1250 0.9473
8 Pt 0.8750 0.8223 0.4473

***

Below is a geometry-optimized KZr2Pt structure, with properties calculated at the PBE level.

Computed properties:
Calculated formation energy (eV per atom): 0.45
DFT total energy (eV per atom): -5.6037
Total magnetization (μB/cell): 0.000
SG: P4/mmm, No. 123

Lattice parameters (Å, degrees): 4.5573 4.5573 4.2751 90.00 90.00 90.00
Fractional coordinates of all 4 atoms:
1 K 0.0000 0.0000 0.0000
2 Zr 0.0000 0.5000 0.5000
3 Zr 0.5000 0.0000 0.5000
4 Pt 0.5000 0.5000 0.0000

***

Below is a geometry-optimized KZr2Pt structure, with properties calculated at the PBE level.

Computed properties:
Calculated formation energy (eV per atom): 0.50
DFT total energy (eV per atom): -5.5627
Total magnetization (μB/cell): 0.000
SG: Cmmm, No. 65

Lattice parameters (Å, degrees): 5.8434 5.8434 2.9417 90.00 90.00 118.26
Fractional coordinates of all 4 atoms:
1 K 0.0000 0.0000 0.0000
2 Zr 0.0000 0.5000 0.5000
3 Zr 0.5000 0.0000 0.5000
4 Pt 0.5000 0.5000 0.0000

***

Below is a geometry-optimized KZrPt2 structure, with properties calculated at the PBE level.

Computed properties:
Calculated formation energy (eV per atom): 0.11
DFT total energy (eV per atom): -5.3233
Total magnetization (μB/cell): 0.000
SG: F-43m, No. 216

Lattice parameters (Å, degrees): 4.7706 4.7706 4.7706 60.00 60.00 60.00
Fractional coordinates of all 4 atoms:
1 K 0.0000 0.0000 0.0000
2 Zr 0.7500 0.7500 0.7500
3 Pt 0.2500 0.2500 0.2500
4 Pt 0.5000 0.5000 0.5000

***

Below is a geometry-optimized KZrPt2 structure, with properties calculated at the PBE level.

Computed properties:
Calculated formation energy (eV per atom): -0.61
DFT total energy (eV per atom): -6.0452
Total magnetization (μB/cell): 0.000
SG: P4/mmm, No. 123

Lattice parameters (Å, degrees): 3.3602 3.3602 8.1282 90.00 90.00 90.00
Fractional coordinates of all 4 atoms:
1 K 0.0000 0.0000 0.0000
2 Zr 0.0000 0.0000 0.5000
3 Pt 0.5000 0.5000 0.3158
4 Pt 0.5000 0.5000 0.6842

***

Below is a geometry-optimized KZr2Pt2 structure, with properties calculated at the PBE level.

Computed properties:
Calculated formation energy (eV per atom): -0.52
DFT total energy (eV per atom): -6.5773
Total magnetization (μB/cell): 0.000
SG: I4/mmm, No. 139

Lattice parameters (Å, degrees): 6.3565 6.3565 6.3565 136.27 136.27 63.56
Fractional coordinates of all 5 atoms:
1 K 0.0000 0.0000 0.0000
2 Zr 0.2500 0.7500 0.5000
3 Zr 0.7500 0.2500 0.5000
4 Pt 0.3742 0.3742 0.0000
5 Pt 0.6258 0.6258 0.0000

***

Below is a geometry-optimized KZr2Pt structure, with properties calculated at the PBE level.

Computed properties:
Calculated formation energy (eV per atom): 0.04
DFT total energy (eV per atom): -6.0234
Total magnetization (μB/cell): 0.000
SG: P4/mmm, No. 123

Lattice parameters (Å, degrees): 3.5209 3.5209 9.3236 90.00 90.00 90.00
Fractional coordinates of all 4 atoms:
1 K 0.0000 0.0000 0.0000
2 Zr 0.5000 0.5000 0.3519
3 Zr 0.5000 0.5000 0.6481
4 Pt 0.0000 0.0000 0.5000

***

Below is a geometry-optimized KZrPt2 structure, with properties calculated at the PBE level.

Computed properties:
Calculated formation energy (eV per atom): -0.18
DFT total energy (eV per atom): -5.6079
Total magnetization (μB/cell): 0.000
SG: Imm2, No. 44

Lattice parameters (Å, degrees): 6.4002 6.4002 6.4002 154.00 132.45 54.99
Fractional coordinates of all 4 atoms:
1 K 0.0000 0.0000 0.0000
2 Zr 0.7001 0.2001 0.5000
3 Pt 0.2757 0.7757 0.5000
4 Pt 0.4886 0.4886 0.0000

***

Below is a geometry-optimized KZrPt2 structure, with properties calculated at the PBE level.

Computed properties:
Calculated formation energy (eV per atom): -0.20
DFT total energy (eV per atom): -5.6347
Total magnetization (μB/cell): 0.000
SG: Cm, No. 8

Lattice parameters (Å, degrees): 5.6751 5.6751 5.3061 101.71 101.71 29.12
Fractional coordinates of all 4 atoms:
1 K 0.0000 0.0000 0.0000
2 Zr 0.1984 0.1984 0.6201
3 Pt 0.4594 0.4594 0.4826
4 Pt 0.7607 0.7607 0.1666

***

Below is a geometry-optimized KZrPt structure, with properties calculated at the PBE level.

Computed properties:
Calculated formation energy (eV per atom): -0.06
DFT total energy (eV per atom): -5.2887
Total magnetization (μB/cell): 0.000
SG: P3m1, No. 156

Lattice parameters (Å, degrees): 3.8713 3.8713 7.5575 90.00 90.00 120.00
Fractional coordinates of all 3 atoms:
1 K 0.0000 0.0000 0.0000
2 Zr 0.3333 0.6667 0.5092
3 Pt 0.6667 0.3333 0.3393

***

Below is a geometry-optimized KZrPt3 structure, with properties calculated at the PBE level.

Computed properties:
Calculated formation energy (eV per atom): 0.24
DFT total energy (eV per atom): -5.3114
Total magnetization (μB/cell): 0.000
SG: Pm-3m, No. 221

Lattice parameters (Å, degrees): 5.1067 5.1067 5.1067 90.00 90.00 90.00
Fractional coordinates of all 5 atoms:
1 K 0.0000 0.0000 0.0000
2 Zr 0.5000 0.5000 0.5000
3 Pt 0.0000 0.5000 0.5000
4 Pt 0.5000 0.0000 0.5000
5 Pt 0.5000 0.5000 0.0000

***

Below is a geometry-optimized KZr2Pt structure, with properties calculated at the PBE level.

Computed properties:
Calculated formation energy (eV per atom): -0.16
DFT total energy (eV per atom): -6.2225
Total magnetization (μB/cell): 0.000
SG: P4mm, No. 99

Lattice parameters (Å, degrees): 3.3837 3.3837 9.4370 90.00 90.00 90.00
Fractional coordinates of all 4 atoms:
1 K 0.0000 0.0000 0.0000
2 Zr 0.0000 0.0000 0.4140
3 Zr 0.5000 0.5000 0.6301
4 Pt 0.5000 0.5000 0.2722

***

Below is a geometry-optimized KZrPt2 structure, with properties calculated at the PBE level.

Computed properties:
Calculated formation energy (eV per atom): -0.42
DFT total energy (eV per atom): -5.8506
Total magnetization (μB/cell): 0.000
SG: C2/m, No. 12

Lattice parameters (Å, degrees): 3.7931 3.7931 8.4726 102.58 102.58 59.44
Fractional coordinates of all 4 atoms:
1 K 0.0000 0.0000 0.0000
2 Zr 0.5000 0.5000 0.5000
3 Pt 0.2302 0.2302 0.6922
4 Pt 0.7698 0.7698 0.3078

***

Below is a geometry-optimized KZr2Pt structure, with properties calculated at the PBE level.

Computed properties:
Calculated formation energy (eV per atom): 0.07
DFT total energy (eV per atom): -5.9879
Total magnetization (μB/cell): 0.000
SG: R-3m, No. 166

Lattice parameters (Å, degrees): 10.5218 10.5218 10.5218 20.50 20.50 20.50
Fractional coordinates of all 4 atoms:
1 K 0.0000 0.0000 0.0000
2 Zr 0.2176 0.2176 0.2176
3 Zr 0.7824 0.7824 0.7824
4 Pt 0.5000 0.5000 0.5000

***

Below is a geometry-optimized K4Pu structure, with properties calculated at the PBE level.

Computed properties:
Calculated formation energy (eV per atom): 0.77
DFT total energy (eV per atom): -2.9722
Total magnetization (μB/cell): 7.559
SG: Pm-3m, No. 221

Lattice parameters (Å, degrees): 7.6149 7.6149 7.6149 90.00 90.00 90.00
Fractional coordinates of all 5 atoms:
1 K 0.0000 0.0000 0.0000
2 K 0.0000 0.5000 0.5000
3 K 0.5000 0.0000 0.5000
4 K 0.5000 0.5000 0.0000
5 Pu 0.5000 0.5000 0.5000

***

Below is a geometry-optimized KPu4 structure, with properties calculated at the PBE level.

Computed properties:
Calculated formation energy (eV per atom): 1.55
DFT total energy (eV per atom): -10.1331
Total magnetization (μB/cell): 23.791
SG: Pm-3m, No. 221

Lattice parameters (Å, degrees): 5.4254 5.4254 5.4254 90.00 90.00 90.00
Fractional coordinates of all 5 atoms:
1 K 0.0000 0.0000 0.0000
2 Pu 0.0000 0.0000 0.5000
3 Pu 0.0000 0.5000 0.0000
4 Pu 0.5000 0.0000 0.0000
5 Pu 0.5000 0.5000 0.5000